# GGA-PBE SiGeF2, relaxed
data_SiGeF2
_symmetry_space_group_name_H-M 'F m -3 m'
_symmetry_Int_Tables_number 225
_symmetry_space_group_name_Hall '-F 4 2 3'
_cell_length_a 6.131
_cell_length_b 6.131
_cell_length_c 6.131
_cell_angle_alpha 90.00
_cell_angle_beta 90.00
_cell_angle_gamma 90.00
loop_
_atom_site_label
_atom_site_type_symbol
_atom_site_fract_x
_atom_site_fract_y
_atom_site_fract_z
Si1 Si 0.000 0.000 0.000
Ge1 Ge 0.000 0.000 0.500
F1 F 0.250 0.250 0.250
# * energy relative to the elements, uncorrected: -0.499 eV per atom

***

# GGA-PBE TbPm7Sn5, relaxed
data_TbPm7Sn5
_symmetry_space_group_name_H-M 'I m m 2'
_symmetry_Int_Tables_number 44
_cell_length_a 6.550
_cell_length_b 11.143
_cell_length_c 10.900
_cell_angle_alpha 90.00
_cell_angle_beta 90.00
_cell_angle_gamma 90.00
loop_
_symmetry_equiv_pos_as_xyz
'x,y,z'
'-x,-y,z'
'-x,y,z'
'x,-y,z'
'x+1/2,y+1/2,z+1/2'
'-x+1/2,-y+1/2,z+1/2'
'-x+1/2,y+1/2,z+1/2'
'x+1/2,-y+1/2,z+1/2'
loop_
_atom_site_label
_atom_site_type_symbol
_atom_site_fract_x
_atom_site_fract_y
_atom_site_fract_z
Tb1 Tb 0.000 0.000 0.000
Pm1 Pm 0.000 0.000 0.319
Pm2 Pm 0.000 0.000 0.663
Pm3 Pm 0.000 0.329 0.905
Pm4 Pm 0.000 0.334 0.394
Pm5 Pm 0.000 0.500 0.652
Sn1 Sn 0.000 0.500 0.147
Sn2 Sn 0.237 0.235 0.150
# * calculated formation energy: -472 meV per atom

***

no.,calculated density (g/cm3)
1,4.00
2,7.38